The following is a PBE calculation of crystalline CuOsPtN2 at its relaxed geometry, from Alexandria.

Unit cell a=3.7387 b=4.8728 c=3.7387 alpha=90.00 beta=90.00 gamma=90.00
Closest atoms and distances in Å follow each position.
Atoms (fractional coordinates):
Os (0.5000, 0.5000, 0.5000)  4 Pt 2.64
Pt (0.0000, 0.5000, 0.0000)  2 Cu 2.44, 4 Os 2.64
N (0.5000, 0.0000, 0.0000)  2 Cu 1.87
N (0.0000, 0.0000, 0.5000)  2 Cu 1.87
Cu (0.0000, 0.0000, 0.0000)  4 N 1.87

Properties
DFT total energy in eV/atom: -5.426
Formation energy (no corrections) in eV per atom: 2.177
Magnetic moment in μB per formula unit: 1.2
Excess energy over the best structure of this formula in the dataset in eV/atom: 0.084
Volume in Å³/f.u.: 68.11


The following is a PBE calculation of crystalline CuOsRu2N at its relaxed geometry, from Alexandria.

Unit cell a=4.6331 b=4.6193 c=4.6331 alpha=90.00 beta=90.00 gamma=90.00
Closest atoms and distances in Å follow each position.
Atoms (fractional coordinates):
Cu (0.0000, 0.5000, 0.0000)  2 Os 2.31
Os (0.0000, 0.0000, 0.0000)  2 Cu 2.31, 4 Ru 2.32
N (0.5000, 0.5000, 0.5000)  8 Ru 3.27, 4 Cu 3.28
Ru (0.5000, 0.0000, 0.0000)  2 Os 2.32
Ru (0.0000, 0.0000, 0.5000)  2 Os 2.32

Properties
DFT total energy in eV/atom: -5.744
Formation energy (no corrections) in eV per atom: 2.696
Magnetic moment in μB per formula unit: 1.6
Volume in Å³/f.u.: 99.16


The following is a PBE calculation of crystalline CuOsS2N at its relaxed geometry, from Alexandria.

Unit cell a=4.7992 b=4.7992 c=3.6585 alpha=90.00 beta=90.00 gamma=90.00
Closest atoms and distances in Å follow each position.
Atoms (fractional coordinates):
N (0.0000, 0.0000, 0.5000)  2 Os 1.83
Cu (0.5000, 0.5000, 0.5000)  8 S 3.02
Os (0.0000, 0.0000, 0.0000)  2 N 1.83
S (0.5000, 0.0000, 0.0000)  2 Os 2.40
S (0.0000, 0.5000, 0.0000)  2 Os 2.40

Properties
DFT total energy in eV/atom: -5.709
Formation energy (no corrections) in eV per atom: 0.672
Magnetic moment in μB per formula unit: 0.0
Excess energy over the best structure of this formula in the dataset in eV/atom: 0.000
Volume in Å³/f.u.: 84.26


The following is a PBE calculation of crystalline CuOsS2N at its relaxed geometry, from Alexandria.

Unit cell a=4.6062 b=4.6062 c=3.3971 alpha=90.00 beta=90.00 gamma=90.00
Closest atoms and distances in Å follow each position.
Atoms (fractional coordinates):
N (0.0000, 0.0000, 0.5000)  2 Cu 1.70
Os (0.5000, 0.5000, 0.5000)  8 S 2.86
S (0.0000, 0.5000, 0.0000)  2 Cu 2.30
S (0.5000, 0.0000, 0.0000)  2 Cu 2.30
Cu (0.0000, 0.0000, 0.0000)  2 N 1.70

Properties
DFT total energy in eV/atom: -4.818
Formation energy (no corrections) in eV per atom: 1.563
Magnetic moment in μB per formula unit: 0.9
Excess energy over the best structure of this formula in the dataset in eV/atom: 0.891
Volume in Å³/f.u.: 72.07


The following is a PBE calculation of crystalline CuOsSe2N at its relaxed geometry, from Alexandria.

Unit cell a=4.8603 b=4.8603 c=3.3894 alpha=90.00 beta=90.00 gamma=90.00
Closest atoms and distances in Å follow each position.
Atoms (fractional coordinates):
N (0.0000, 0.0000, 0.5000)  2 Cu 1.69
Cu (0.0000, 0.0000, 0.0000)  2 N 1.69
Se (0.5000, 0.0000, 0.0000)  2 Cu 2.43
Se (0.0000, 0.5000, 0.0000)  2 Cu 2.43
Os (0.5000, 0.5000, 0.5000)  8 Se 2.96

Properties
DFT total energy in eV/atom: -4.691
Formation energy (no corrections) in eV per atom: 1.433
Magnetic moment in μB per formula unit: 0.8
Excess energy over the best structure of this formula in the dataset in eV/atom: 0.815
Volume in Å³/f.u.: 80.07


The following is a PBE calculation of crystalline CuOsSe2N at its relaxed geometry, from Alexandria.

Unit cell a=5.0915 b=5.0915 c=3.6491 alpha=90.00 beta=90.00 gamma=90.00
Closest atoms and distances in Å follow each position.
Atoms (fractional coordinates):
Se (0.0000, 0.5000, 0.0000)  2 Os 2.55
Se (0.5000, 0.0000, 0.0000)  2 Os 2.55
Os (0.0000, 0.0000, 0.0000)  2 N 1.82
Cu (0.5000, 0.5000, 0.5000)  8 Se 3.13
N (0.0000, 0.0000, 0.5000)  2 Os 1.82

Properties
DFT total energy in eV/atom: -5.507
Formation energy (no corrections) in eV per atom: 0.618
Magnetic moment in μB per formula unit: 0.0
Excess energy over the best structure of this formula in the dataset in eV/atom: 0.000
Volume in Å³/f.u.: 94.60


The following is a PBE calculation of crystalline Sr2CuOsN at its relaxed geometry, from Alexandria.

Unit cell a=5.4046 b=5.4046 c=3.7935 alpha=90.00 beta=90.00 gamma=90.00
Closest atoms and distances in Å follow each position.
Atoms (fractional coordinates):
Sr (0.0000, 0.5000, 0.0000)  2 N 2.70
Sr (0.5000, 0.0000, 0.0000)  2 N 2.70
Cu (0.5000, 0.5000, 0.5000)  8 Sr 3.30
N (0.0000, 0.0000, 0.0000)  2 Os 1.90
Os (0.0000, 0.0000, 0.5000)  2 N 1.90

Properties
DFT total energy in eV/atom: -5.612
Formation energy (no corrections) in eV per atom: -0.209
Magnetic moment in μB per formula unit: 0.0
Volume in Å³/f.u.: 110.80


The following is a PBE calculation of crystalline CuTeOsN2 at its relaxed geometry, from Alexandria.

Unit cell a=3.7693 b=3.7693 c=5.6957 alpha=90.00 beta=90.00 gamma=90.00
Closest atoms and distances in Å follow each position.
Atoms (fractional coordinates):
Cu (0.0000, 0.0000, 0.0000)  4 N 1.88
Os (0.5000, 0.5000, 0.5000)  4 Te 2.67
N (0.5000, 0.0000, 0.0000)  2 Cu 1.88
N (0.0000, 0.5000, 0.0000)  2 Cu 1.88
Te (0.0000, 0.0000, 0.5000)  4 Os 2.67, 2 Cu 2.85

Properties
DFT total energy in eV/atom: -4.961
Formation energy (no corrections) in eV per atom: 2.063
Magnetic moment in μB per formula unit: 1.7
Excess energy over the best structure of this formula in the dataset in eV/atom: 1.444
Volume in Å³/f.u.: 80.92